The following is a GGA-PBE calculation of an optimized crystal structure of K2LiTcI, from the Alexandria database.

a b c (Å): 6.6512 5.1325 6.6512
angles (deg): 90.00 90.00 90.00
Closest atoms and distances in Å follow each position.
Fractional coordinates of all 5 atoms:
K 0.5000 0.0000 0.0000  2 Tc 3.33
K 0.0000 0.0000 0.5000  2 Tc 3.33
Tc 0.0000 0.0000 0.0000  2 I 2.57
Li 0.5000 0.5000 0.5000  8 K 4.20, 4 I 4.70
I 0.0000 0.5000 0.0000  2 Tc 2.57

Summary:
* calculated total energy: -2.56 eV per atom
* DOS(E_F): 4.558 states/eV/f.u.